# 1
The following is a PBE with a Hubbard U calculation of a relaxed Fe4SiO6 crystal, from the Alexandria database.

a b c (Å): 10.3250 5.5800 10.2295
angles (deg): 90.00 111.53 90.00
Closest atoms and distances in Å follow each position.
Space group Cc (No. 9)
Unique sites:
Fe 0.0000 0.1023 0.0000 x4  4 O 2.05-2.08
Fe 0.0253 0.3785 0.2944 x4  4 O 2.03-2.18
Fe 0.1933 0.1527 0.8282 x4  4 O 2.04-2.24
Fe 0.3077 0.2947 0.1677 x4  4 O 2.04-2.17
Si 0.2504 0.2412 0.5579 x4  4 O 1.63-1.67
O 0.0032 0.2648 0.8217 x4  4 Fe 2.03-2.08
O 0.0805 0.2349 0.4956 x4  1 Si 1.63
O 0.1333 0.1825 0.1996 x4  4 Fe 2.04-2.24
O 0.3018 0.4804 0.4939 x4  1 Si 1.66
O 0.3123 0.0124 0.0243 x4  1 Si 1.64
O 0.3190 0.2831 0.7312 x4  1 Si 1.67

---

# 2
The following is a PBE with a Hubbard U calculation of a relaxed Fe2Si4O crystal, from the Alexandria database.

a b c (Å): 3.7244 3.7244 15.1428
angles (deg): 90.00 90.00 90.00
Closest atoms and distances in Å follow each position.
Space group I4/mmm (No. 139)
Unique sites:
Fe 0.0000 0.0000 0.1222 x4  5 Si 2.53-2.63
Si 0.0000 0.0000 0.2892 x4  1 Fe 2.53
Si 0.0000 0.5000 0.0000 x4  2 O 1.86
O 0.0000 0.0000 0.5000 x2  4 Si 1.86

---

# 3
The following is a PBE with a Hubbard U calculation of a relaxed FeSiO3 crystal, from the Alexandria database.

a b c (Å): 10.0998 9.1551 5.4356
angles (deg): 90.00 111.28 90.00
Closest atoms and distances in Å follow each position.
Space group C2/c (No. 15)
Unique sites:
Fe 0.0000 0.0967 0.2500 x4  6 O 2.12-2.24
Fe 0.0000 0.2641 0.7500 x4  4 O 2.05-2.15
Si 0.2057 0.4128 0.2114 x8  4 O 1.62-1.67
O 0.1205 0.2589 0.1456 x8  1 Si 1.62
O 0.1208 0.0903 0.6669 x8  1 Si 1.63
O 0.1502 0.4890 0.9117 x8  2 Si 1.66-1.67

---

# 4
The following is a PBE with a Hubbard U calculation of a relaxed FeSiO4 crystal, from the Alexandria database.

Computed properties:
Excess energy over the best structure of this formula in the dataset = 0 meV per atom

a b c (Å): 11.7409 6.0488 5.3659
angles (deg): 90.00 90.00 90.00
Closest atoms and distances in Å follow each position.
Space group Pnma (No. 62)
Unique sites:
Fe 0.0880 0.2500 0.1874 x4  4 O 1.86
Si 0.0733 0.7500 0.3113 x4  4 O 1.63-1.64
O 0.0395 0.7500 0.6080 x4  1 Si 1.64
O 0.0429 0.2500 0.8560 x4  1 Si 1.63
O 0.1492 0.5280 0.2511 x8  1 Si 1.64

---

# 5
The following is a PBE with a Hubbard U calculation of a relaxed FeSi4O10 crystal, from the Alexandria database.

a b c (Å): 7.3622 7.3622 16.1375
angles (deg): 90.00 90.00 90.00
Closest atoms and distances in Å follow each position.
Space group P4/ncc (No. 130, origin choice 2)
Unique sites:
Fe 0.2500 0.2500 0.0928 x4  4 O 1.82
Si 0.0085 0.0714 0.3475 x16  4 O 1.63
O 0.0018 0.7124 0.6322 x16  2 Si 1.63
O 0.0256 0.1470 0.0956 x16  1 Si 1.63, 1 Fe 1.82
O 0.0355 0.5355 0.2500 x8  2 Si 1.63

---

# 6
The following is a PBE with a Hubbard U calculation of a relaxed FeSiO4 crystal, from the Alexandria database.

Computed properties:
Excess energy over the best structure of this formula in the dataset = 15 meV per atom

a b c (Å): 6.1223 5.7980 5.3811
angles (deg): 90.00 90.00 90.00
Closest atoms and distances in Å follow each position.
Space group Pmn2_1 (No. 31)
Unique sites:
Fe 0.0000 0.1823 0.0000 x2  4 O 1.86-1.87
Si 0.0000 0.8460 0.5000 x2  4 O 1.63-1.65
O 0.0000 0.0769 0.6737 x2  1 Si 1.63
O 0.0000 0.9263 0.2068 x2  1 Si 1.65
O 0.2220 0.6944 0.5504 x4  1 Si 1.64

---

# 7
The following is a PBE with a Hubbard U calculation of a relaxed Fe7Si4O16 crystal, from the Alexandria database.

a b c (Å): 11.7613 4.8654 10.2278
angles (deg): 90.00 90.99 90.00
Closest atoms and distances in Å follow each position.
Space group P2_1/c (No. 14)
Unique sites:
Fe 0.0000 0.0000 0.0000 x2  6 O 2.12-2.21
Fe 0.1286 0.0098 0.2759 x4  6 O 2.06-2.24
Fe 0.2688 0.5020 0.5079 x4  6 O 2.05-2.23
Fe 0.3808 0.5097 0.2308 x4  6 O 1.92-2.12
Si 0.1304 0.5673 0.0978 x4  4 O 1.64-1.68
Si 0.3837 0.0623 0.4040 x4  4 O 1.63-1.69
O 0.0202 0.7148 0.1675 x4  1 Si 1.65
O 0.1299 0.2306 0.0965 x4  1 Si 1.64
O 0.1312 0.7039 0.9493 x4  1 Si 1.66
O 0.2424 0.7161 0.1725 x4  1 Si 1.68
O 0.2761 0.2367 0.3311 x4  1 Si 1.69
O 0.3748 0.1673 0.5574 x4  1 Si 1.66
O 0.3753 0.7286 0.3929 x4  1 Si 1.63
O 0.4870 0.2107 0.3216 x4  1 Si 1.66

---

# 8
The following is a PBE with a Hubbard U calculation of a relaxed FeSi4O6 crystal, from the Alexandria database.

Computed properties:
Excess energy over the best structure of this formula in the dataset = 105 meV per atom

a b c (Å): 2.8859 5.1374 10.9392
angles (deg): 82.83 82.48 73.94
Closest atoms and distances in Å follow each position.
Space group P1 (No. 1)
Unique sites:
Fe 0.0000 0.0000 0.0000 x1  4 O 1.94-1.95
Si 0.1551 0.2791 0.4188 x1  1 O 1.69
Si 0.2247 0.3560 0.2005 x1  3 O 1.64-1.69
Si 0.7556 0.7092 0.7761 x1  4 O 1.63-1.67
Si 0.7938 0.9191 0.4963 x1  2 O 1.65-1.66
O 0.3385 0.5380 0.7788 x1  2 Si 1.67
O 0.3873 0.1246 0.1017 x1  1 Si 1.64
O 0.6110 0.8791 0.8983 x1  1 Si 1.63
O 0.6535 0.5278 0.1735 x1  2 Si 1.69
O 0.7180 0.9148 0.6485 x1  2 Si 1.64-1.65
O 0.9743 0.5993 0.4614 x1  2 Si 1.66-1.69

---

Energy, respectively: -6.96 -4.94 -7.44 -6.86 -7.43 -6.85 -6.95 -6.93 eV/atom.